PBE Na5B8C2, relaxed; calculated total energy = -5.05 eV per atom; space group = Cm (8); magnetic moment = 0.00 μB/f.u.; formation enthalpy at 0 K = 0.182 eV per atom
1.0
11.7003 -1.4160 0.0000
11.7003 1.4160 0.0000
-2.8393 0.0000 9.7255
Na B C
10 16 4
Direct
0.0000 0.0000 0.0000 Na
0.1028 0.1028 0.6977 Na
0.2004 0.2004 0.3967 Na
0.2982 0.2982 0.0974 Na
0.3999 0.3999 0.7962 Na
0.5002 0.5002 0.4967 Na
0.6011 0.6011 0.1972 Na
0.7011 0.7011 0.8981 Na
0.7994 0.7994 0.5959 Na
0.8982 0.8982 0.2956 Na
0.0192 0.0192 0.2834 B
0.0822 0.0822 0.4085 B
0.1207 0.1207 0.9869 B
0.2224 0.2224 0.6919 B
0.2874 0.2874 0.8239 B
0.3080 0.3080 0.3632 B
0.3761 0.3761 0.5005 B
0.4148 0.4148 0.0790 B
0.4777 0.4777 0.2028 B
0.5289 0.5289 0.8043 B
0.6215 0.6215 0.4874 B
0.6854 0.6854 0.6167 B
0.7141 0.7141 0.1738 B
0.8753 0.8753 0.0006 B
0.9200 0.9200 0.5880 B
0.9847 0.9847 0.7163 B
0.1829 0.1829 0.1105 C
0.5886 0.5886 0.9230 C
0.7769 0.7769 0.3001 C
0.8163 0.8163 0.8830 C


PBE Na5B8C2, relaxed; calculated total energy = -5.06 eV per atom; space group = Cmcm (63); magnetic moment = 0.00 μB/f.u.; formation enthalpy at 0 K = 0.174 eV per atom
1.0
1.4051 -13.2355 0.0000
1.4051 13.2355 0.0000
0.0000 0.0000 8.6706
Na B C
10 16 4
Direct
0.0000 0.0000 0.0000 Na
0.0000 0.0000 0.5000 Na
0.2009 0.7991 0.5014 Na
0.2009 0.7991 0.9986 Na
0.3984 0.6016 0.0023 Na
0.3984 0.6016 0.4977 Na
0.6016 0.3984 0.5023 Na
0.6016 0.3984 0.9977 Na
0.7991 0.2009 0.0014 Na
0.7991 0.2009 0.4986 Na
0.0700 0.9300 0.7500 B
0.0777 0.9223 0.2500 B
0.1341 0.8659 0.7500 B
0.2587 0.7413 0.2500 B
0.3254 0.6746 0.2500 B
0.3327 0.6673 0.7500 B
0.4640 0.5360 0.7500 B
0.4729 0.5271 0.2500 B
0.5271 0.4729 0.7500 B
0.5360 0.4640 0.2500 B
0.6673 0.3327 0.2500 B
0.6746 0.3254 0.7500 B
0.7413 0.2587 0.7500 B
0.8659 0.1341 0.2500 B
0.9223 0.0777 0.7500 B
0.9300 0.0700 0.2500 B
0.1364 0.8636 0.2500 C
0.2717 0.7283 0.7500 C
0.7283 0.2717 0.2500 C
0.8636 0.1364 0.7500 C


PBE Na2B3C, relaxed; calculated total energy = -5.14 eV per atom; space group = Pnma (62); magnetic moment = 0.00 μB/f.u.; formation enthalpy at 0 K = 0.177 eV per atom
1.0
4.9981 0.0000 0.0000
0.0000 8.6374 0.0000
0.0000 0.0000 5.9173
Na B C
8 12 4
Direct
0.2491 0.0013 0.1253 Na
0.2491 0.4987 0.1253 Na
0.2509 0.5013 0.6253 Na
0.2509 0.9987 0.6253 Na
0.7491 0.0013 0.3747 Na
0.7491 0.4987 0.3747 Na
0.7509 0.5013 0.8747 Na
0.7509 0.9987 0.8747 Na
0.0561 0.2500 0.8906 B
0.0677 0.7500 0.3723 B
0.0863 0.2500 0.3656 B
0.4137 0.7500 0.8656 B
0.4323 0.2500 0.8723 B
0.4439 0.7500 0.3906 B
0.5561 0.2500 0.6094 B
0.5677 0.7500 0.1277 B
0.5863 0.2500 0.1344 B
0.9137 0.7500 0.6344 B
0.9323 0.2500 0.6277 B
0.9439 0.7500 0.1094 B
0.0742 0.7500 0.8682 C
0.4258 0.2500 0.3682 C
0.5742 0.7500 0.6318 C
0.9258 0.2500 0.1318 C


PBE Na5B9C, relaxed; calculated total energy = -4.80 eV per atom; space group = Amm2 (38); magnetic moment = 0.00 μB/f.u.; formation enthalpy at 0 K = 0.258 eV per atom
1.0
8.6557 0.0000 0.0000
0.0000 7.5321 2.5571
0.0000 -7.5321 2.5571
Na B C
10 18 2
Direct
0.2480 0.2003 0.7997 Na
0.2480 0.7997 0.2003 Na
0.2494 0.4029 0.6030 Na
0.2494 0.6030 0.4029 Na
0.2504 0.0058 0.0058 Na
0.7496 0.0058 0.0058 Na
0.7506 0.4029 0.6030 Na
0.7506 0.6030 0.4029 Na
0.7520 0.2003 0.7997 Na
0.7520 0.7997 0.2003 Na
0.0000 0.0804 0.2742 B
0.0000 0.1207 0.5247 B
0.0000 0.2742 0.0804 B
0.0000 0.3427 0.3427 B
0.0000 0.4667 0.8633 B
0.0000 0.5247 0.1207 B
0.0000 0.6859 0.6859 B
0.0000 0.7325 0.9383 B
0.0000 0.8633 0.4667 B
0.0000 0.9383 0.7325 B
0.5000 0.0697 0.2724 B
0.5000 0.1371 0.5500 B
0.5000 0.2724 0.0697 B
0.5000 0.3276 0.3276 B
0.5000 0.5500 0.1371 B
0.5000 0.6797 0.6797 B
0.5000 0.7123 0.9298 B
0.5000 0.9298 0.7123 B
0.5000 0.4631 0.8670 C
0.5000 0.8670 0.4631 C


PBE Na5B6C4, relaxed; calculated total energy = -5.49 eV per atom; space group = C2 (5); magnetic moment = 0.00 μB/f.u.; formation enthalpy at 0 K = 0.078 eV per atom
1.0
7.0982 -2.4894 0.0000
7.0982 2.4894 0.0000
-5.6800 0.0000 8.4927
Na B C
10 12 8
Direct
0.0009 0.0009 0.2521 Na
0.2001 0.1973 0.7478 Na
0.2008 0.2007 0.2521 Na
0.4010 0.3985 0.7494 Na
0.4018 0.3991 0.2522 Na
0.6009 0.5982 0.7478 Na
0.6015 0.5990 0.2506 Na
0.7993 0.7992 0.7479 Na
0.8027 0.7999 0.2522 Na
0.9991 0.9991 0.7479 Na
0.0335 0.3665 0.4999 B
0.1444 0.8556 0.0000 B
0.2334 0.5664 0.4999 B
0.2399 0.5600 0.0000 B
0.3616 0.0469 0.0000 B
0.4336 0.7666 0.5001 B
0.4400 0.7601 0.0000 B
0.5782 0.2201 0.0000 B
0.6335 0.9665 0.5001 B
0.7799 0.4218 0.0000 B
0.8335 0.1665 0.5000 B
0.9531 0.6384 0.0000 B
0.0358 0.3645 0.9999 C
0.1673 0.8327 0.5000 C
0.3673 0.0330 0.5003 C
0.5672 0.2328 0.5001 C
0.6355 0.9642 0.0001 C
0.7672 0.4328 0.4999 C
0.8356 0.1644 0.0000 C
0.9670 0.6327 0.4997 C


PBE Na2B3C, relaxed; calculated total energy = -5.18 eV per atom; space group = Pmm2 (25); magnetic moment = 0.00 μB/f.u.; formation enthalpy at 0 K = 0.135 eV per atom
1.0
2.7865 0.0000 0.0000
0.0000 17.2947 0.0000
0.0000 0.0000 5.2562
Na B C
8 12 4
Direct
0.0000 0.1241 0.0000 Na
0.0000 0.3749 0.9983 Na
0.0000 0.6251 0.9983 Na
0.0000 0.8759 0.0000 Na
0.5000 0.1254 0.4958 Na
0.5000 0.3749 0.4980 Na
0.5000 0.6251 0.4980 Na
0.5000 0.8746 0.4958 Na
0.0000 0.0000 0.6338 B
0.0000 0.2500 0.3163 B
0.0000 0.2503 0.6478 B
0.0000 0.5000 0.3484 B
0.0000 0.5000 0.6802 B
0.0000 0.7500 0.3163 B
0.0000 0.7497 0.6478 B
0.5000 0.0000 0.1787 B
0.5000 0.0000 0.8483 B
0.5000 0.2500 0.8621 B
0.5000 0.5000 0.1342 B
0.5000 0.7500 0.8621 B
0.0000 0.0000 0.3360 C
0.5000 0.2498 0.1595 C
0.5000 0.5000 0.8368 C
0.5000 0.7502 0.1595 C


PBE Na2B3C, relaxed; calculated total energy = -5.12 eV per atom; space group = P3m1 (156); magnetic moment = 0.00 μB/f.u.; formation enthalpy at 0 K = 0.191 eV per atom
1.0
2.9132 0.0000 0.0000
-1.4566 2.5229 0.0000
0.0000 0.0000 42.9180
Na B C
10 15 5
Direct
0.0000 0.0000 0.0000 Na
0.0000 0.0000 0.0985 Na
0.0000 0.0000 0.1994 Na
0.0000 0.0000 0.2980 Na
0.0000 0.0000 0.3993 Na
0.0000 0.0000 0.4982 Na
0.0000 0.0000 0.5997 Na
0.0000 0.0000 0.6983 Na
0.0000 0.0000 0.7967 Na
0.0000 0.0000 0.8984 Na
0.3333 0.6667 0.1489 B
0.3333 0.6667 0.3486 B
0.3333 0.6667 0.5490 B
0.3333 0.6667 0.7474 B
0.3333 0.6667 0.8475 B
0.3333 0.6667 0.9494 B
0.6667 0.3333 0.0492 B
0.6667 0.3333 0.1489 B
0.6667 0.3333 0.2487 B
0.6667 0.3333 0.3486 B
0.6667 0.3333 0.4487 B
0.6667 0.3333 0.5490 B
0.6667 0.3333 0.6493 B
0.6667 0.3333 0.8475 B
0.6667 0.3333 0.9494 B
0.3333 0.6667 0.0491 C
0.3333 0.6667 0.2487 C
0.3333 0.6667 0.4487 C
0.3333 0.6667 0.6493 C
0.6667 0.3333 0.7473 C


PBE Na2B3C, relaxed; calculated total energy = -5.16 eV per atom; space group = Amm2 (38); magnetic moment = 0.00 μB/f.u.; formation enthalpy at 0 K = 0.160 eV per atom
1.0
8.5901 0.0000 0.0000
0.0000 1.4192 12.9939
0.0000 -1.4192 12.9939
Na B C
10 15 5
Direct
0.2470 0.0000 0.0000 Na
0.2469 0.2010 0.2010 Na
0.2478 0.3993 0.3993 Na
0.2486 0.6009 0.6009 Na
0.2511 0.8002 0.8002 Na
0.7489 0.8002 0.8002 Na
0.7514 0.6009 0.6009 Na
0.7522 0.3993 0.3993 Na
0.7530 0.0000 0.0000 Na
0.7531 0.2010 0.2010 Na
0.0000 0.0705 0.0705 B
0.0000 0.2737 0.2737 B
0.0000 0.4611 0.4611 B
0.0000 0.5312 0.5312 B
0.0000 0.6645 0.6645 B
0.0000 0.7338 0.7338 B
0.0000 0.8668 0.8668 B
0.5000 0.0721 0.0721 B
0.5000 0.1387 0.1387 B
0.5000 0.2685 0.2685 B
0.5000 0.3350 0.3350 B
0.5000 0.4670 0.4670 B
0.5000 0.5313 0.5313 B
0.5000 0.7301 0.7301 B
0.5000 0.9255 0.9255 B
0.0000 0.1333 0.1333 C
0.0000 0.3357 0.3357 C
0.0000 0.9304 0.9304 C
0.5000 0.6686 0.6686 C
0.5000 0.8659 0.8659 C